# 1
AlW3: optimized geometry, PBE-GGA.

abc: 5.0859 5.0859 5.0859
angles: 135.58 135.58 64.64
Last column: nearest neighbours and their distance in Å.
Fractional positions:
Al  0.0000  0.0000  0.0000  12 W 2.72-2.88
W  0.5000  0.5000  0.0000  4 Al 2.72, 8 W 2.88
W  0.7500  0.2500  0.5000  8 W 2.72-2.88, 4 Al 2.88
W  0.2500  0.7500  0.5000  8 W 2.72-2.88, 4 Al 2.88

Output
Energy ... -10.453 eV/atom
Symmetry ... I4/mmm, No. 139



# 2
Al8W7: optimized geometry, PBE-GGA.

abc: 9.5571 9.5571 5.1649
angles: 90.00 90.00 90.00
Last column: nearest neighbours and their distance in Å.
Fractional positions:
Al  0.7364  0.0690  0.0000  5 W 2.60-2.82, 5 Al 2.63-2.77
Al  0.4607  0.1352  0.0000  1 W 2.59, 5 Al 2.69-2.77
Al  0.9310  0.2636  0.0000  5 W 2.60-2.82, 5 Al 2.63-2.77
Al  0.1352  0.4607  0.0000  1 W 2.59, 5 Al 2.69-2.77
Al  0.8648  0.5393  0.0000  1 W 2.59, 5 Al 2.69-2.77
Al  0.0690  0.7364  0.0000  5 W 2.60-2.82, 5 Al 2.63-2.77
Al  0.5393  0.8648  0.0000  1 W 2.59, 5 Al 2.69-2.77
Al  0.2636  0.9310  0.0000  5 W 2.60-2.82, 5 Al 2.63-2.77
Al  0.6352  0.0393  0.5000  1 W 2.59, 5 Al 2.69-2.77
Al  0.4310  0.2364  0.5000  5 W 2.60-2.82, 5 Al 2.63-2.77
Al  0.9607  0.3648  0.5000  1 W 2.59, 5 Al 2.69-2.77
Al  0.2364  0.4310  0.5000  5 W 2.60-2.82, 5 Al 2.63-2.77
Al  0.7636  0.5690  0.5000  5 W 2.60-2.82, 5 Al 2.63-2.77
Al  0.0393  0.6352  0.5000  1 W 2.59, 5 Al 2.69-2.77
Al  0.5690  0.7636  0.5000  5 W 2.60-2.82, 5 Al 2.63-2.77
Al  0.3648  0.9607  0.5000  1 W 2.59, 5 Al 2.69-2.77
W  0.0000  0.0000  0.0000  4 Al 2.60, 4 W 2.75
W  0.3985  0.3985  0.0000  2 Al 2.59, 1 W 2.75
W  0.6015  0.6015  0.0000  2 Al 2.59, 1 W 2.75
W  0.1796  0.1796  0.2483  3 W 2.56-2.75, 4 Al 2.78-2.82
W  0.8204  0.8204  0.2483  3 W 2.56-2.75, 4 Al 2.78-2.82
W  0.6796  0.3204  0.2517  3 W 2.56-2.75, 4 Al 2.78-2.82
W  0.3204  0.6796  0.2517  3 W 2.56-2.75, 4 Al 2.78-2.82
W  0.8985  0.1015  0.5000  2 Al 2.59, 1 W 2.75
W  0.5000  0.5000  0.5000  4 Al 2.60, 4 W 2.75
W  0.1015  0.8985  0.5000  2 Al 2.59, 1 W 2.75
W  0.6796  0.3204  0.7483  3 W 2.56-2.75, 4 Al 2.78-2.82
W  0.3204  0.6796  0.7483  3 W 2.56-2.75, 4 Al 2.78-2.82
W  0.1796  0.1796  0.7517  3 W 2.56-2.75, 4 Al 2.78-2.82
W  0.8204  0.8204  0.7517  3 W 2.56-2.75, 4 Al 2.78-2.82

Output
E above lowest polymorph ... 47 kJ/mol of formula units
Energy ... -7.986 eV/atom
Symmetry ... P4_2/mnm, No. 136



# 3
Al11W4: optimized geometry, PBE-GGA.

abc: 9.6502 9.6502 5.0317
angles: 90.00 90.00 90.00
Last column: nearest neighbours and their distance in Å.
Fractional positions:
Al  0.0000  0.0000  0.0000  12 Al 2.58-2.89
Al  0.7378  0.0541  0.0000  6 Al 2.58-2.84, 4 W 2.67-2.74
Al  0.9459  0.2622  0.0000  6 Al 2.58-2.84, 4 W 2.67-2.74
Al  0.4013  0.4013  0.0000  2 W 2.66, 3 Al 2.69-2.85
Al  0.5987  0.5987  0.0000  2 W 2.66, 3 Al 2.69-2.85
Al  0.0541  0.7378  0.0000  6 Al 2.58-2.84, 4 W 2.67-2.74
Al  0.2622  0.9459  0.0000  6 Al 2.58-2.84, 4 W 2.67-2.74
Al  0.6903  0.3097  0.2489  6 Al 2.50-2.80
Al  0.3097  0.6903  0.2489  6 Al 2.50-2.80
Al  0.1903  0.1903  0.2511  6 Al 2.50-2.80
Al  0.8097  0.8097  0.2511  6 Al 2.50-2.80
Al  0.9013  0.0987  0.5000  2 W 2.66, 3 Al 2.69-2.85
Al  0.4459  0.2378  0.5000  6 Al 2.58-2.84, 4 W 2.67-2.74
Al  0.2378  0.4459  0.5000  6 Al 2.58-2.84, 4 W 2.67-2.74
Al  0.5000  0.5000  0.5000  12 Al 2.58-2.89
Al  0.7622  0.5541  0.5000  6 Al 2.58-2.84, 4 W 2.67-2.74
Al  0.5541  0.7622  0.5000  6 Al 2.58-2.84, 4 W 2.67-2.74
Al  0.0987  0.9013  0.5000  2 W 2.66, 3 Al 2.69-2.85
Al  0.1903  0.1903  0.7489  6 Al 2.50-2.80
Al  0.8097  0.8097  0.7489  6 Al 2.50-2.80
Al  0.6903  0.3097  0.7511  6 Al 2.50-2.80
Al  0.3097  0.6903  0.7511  6 Al 2.50-2.80
W  0.4736  0.1353  0.0000  7 Al 2.66-2.96, 1 W 2.66
W  0.1353  0.4736  0.0000  7 Al 2.66-2.96, 1 W 2.66
W  0.8647  0.5264  0.0000  7 Al 2.66-2.96, 1 W 2.66
W  0.5264  0.8647  0.0000  7 Al 2.66-2.96, 1 W 2.66
W  0.6353  0.0264  0.5000  7 Al 2.66-2.96, 1 W 2.66
W  0.9736  0.3647  0.5000  7 Al 2.66-2.96, 1 W 2.66
W  0.0264  0.6353  0.5000  7 Al 2.66-2.96, 1 W 2.66
W  0.3647  0.9736  0.5000  7 Al 2.66-2.96, 1 W 2.66

Output
E above lowest polymorph ... 94 kJ/mol of formula units
Energy ... -6.149 eV/atom
Symmetry ... P4_2/mnm, No. 136



# 4
Al2W: optimized geometry, PBE-GGA.

abc: 9.8239 9.8239 5.0158
angles: 90.00 90.00 90.00
Last column: nearest neighbours and their distance in Å.
Fractional positions:
Al  0.4594  0.1245  0.0000  2 Al 2.57-2.74, 4 W 2.77-2.79
Al  0.3962  0.3962  0.0000  3 Al 2.74-2.89, 6 W 2.89-2.96
Al  0.1245  0.4594  0.0000  2 Al 2.57-2.74, 4 W 2.77-2.79
Al  0.8755  0.5406  0.0000  2 Al 2.57-2.74, 4 W 2.77-2.79
Al  0.6038  0.6038  0.0000  3 Al 2.74-2.89, 6 W 2.89-2.96
Al  0.5406  0.8755  0.0000  2 Al 2.57-2.74, 4 W 2.77-2.79
Al  0.1748  0.1748  0.2495  2 Al 2.50-2.51, 1 W 2.73
Al  0.8252  0.8252  0.2495  2 Al 2.50-2.51, 1 W 2.73
Al  0.6748  0.3252  0.2505  2 Al 2.50-2.51, 1 W 2.73
Al  0.3252  0.6748  0.2505  2 Al 2.50-2.51, 1 W 2.73
Al  0.6245  0.0406  0.5000  2 Al 2.57-2.74, 4 W 2.77-2.79
Al  0.8962  0.1038  0.5000  3 Al 2.74-2.89, 6 W 2.89-2.96
Al  0.9594  0.3755  0.5000  2 Al 2.57-2.74, 4 W 2.77-2.79
Al  0.0406  0.6245  0.5000  2 Al 2.57-2.74, 4 W 2.77-2.79
Al  0.1038  0.8962  0.5000  3 Al 2.74-2.89, 6 W 2.89-2.96
Al  0.3755  0.9594  0.5000  2 Al 2.57-2.74, 4 W 2.77-2.79
Al  0.6748  0.3252  0.7495  2 Al 2.50-2.51, 1 W 2.73
Al  0.3252  0.6748  0.7495  2 Al 2.50-2.51, 1 W 2.73
Al  0.1748  0.1748  0.7505  2 Al 2.50-2.51, 1 W 2.73
Al  0.8252  0.8252  0.7505  2 Al 2.50-2.51, 1 W 2.73
W  0.0000  0.0000  0.0000  4 W 2.66, 8 Al 2.73-2.89
W  0.7396  0.0755  0.0000  2 W 2.57-2.66, 6 Al 2.77-2.83
W  0.9245  0.2604  0.0000  2 W 2.57-2.66, 6 Al 2.77-2.83
W  0.0755  0.7396  0.0000  2 W 2.57-2.66, 6 Al 2.77-2.83
W  0.2604  0.9245  0.0000  2 W 2.57-2.66, 6 Al 2.77-2.83
W  0.4245  0.2396  0.5000  2 W 2.57-2.66, 6 Al 2.77-2.83
W  0.2396  0.4245  0.5000  2 W 2.57-2.66, 6 Al 2.77-2.83
W  0.5000  0.5000  0.5000  4 W 2.66, 8 Al 2.73-2.89
W  0.7604  0.5755  0.5000  2 W 2.57-2.66, 6 Al 2.77-2.83
W  0.5755  0.7604  0.5000  2 W 2.57-2.66, 6 Al 2.77-2.83

Output
Energy ... -6.739 eV/atom
Symmetry ... P4_2/mnm, No. 136



# 5
Al7W8: optimized geometry, PBE-GGA.

abc: 9.5758 9.5758 5.2781
angles: 90.00 90.00 90.00
Last column: nearest neighbours and their distance in Å.
Fractional positions:
Al  0.0000  0.0000  0.0000  8 W 2.55-2.82
Al  0.4618  0.1346  0.0000  2 Al 2.60-2.68, 4 W 2.74-2.84
Al  0.3983  0.3983  0.0000  3 Al 2.60-2.76
Al  0.1346  0.4618  0.0000  2 Al 2.60-2.68, 4 W 2.74-2.84
Al  0.8654  0.5382  0.0000  2 Al 2.60-2.68, 4 W 2.74-2.84
Al  0.6017  0.6017  0.0000  3 Al 2.60-2.76
Al  0.5382  0.8654  0.0000  2 Al 2.60-2.68, 4 W 2.74-2.84
Al  0.6346  0.0382  0.5000  2 Al 2.60-2.68, 4 W 2.74-2.84
Al  0.8983  0.1017  0.5000  3 Al 2.60-2.76
Al  0.9618  0.3654  0.5000  2 Al 2.60-2.68, 4 W 2.74-2.84
Al  0.5000  0.5000  0.5000  8 W 2.55-2.82
Al  0.0382  0.6346  0.5000  2 Al 2.60-2.68, 4 W 2.74-2.84
Al  0.1017  0.8983  0.5000  3 Al 2.60-2.76
Al  0.3654  0.9618  0.5000  2 Al 2.60-2.68, 4 W 2.74-2.84
W  0.7417  0.0669  0.0000  5 Al 2.55-2.84, 5 W 2.59-2.83
W  0.9331  0.2583  0.0000  5 Al 2.55-2.84, 5 W 2.59-2.83
W  0.0669  0.7417  0.0000  5 Al 2.55-2.84, 5 W 2.59-2.83
W  0.2583  0.9331  0.0000  5 Al 2.55-2.84, 5 W 2.59-2.83
W  0.1842  0.1842  0.2492  6 W 2.63-2.83, 1 Al 2.82
W  0.8158  0.8158  0.2492  6 W 2.63-2.83, 1 Al 2.82
W  0.6842  0.3158  0.2508  6 W 2.63-2.83, 1 Al 2.82
W  0.3158  0.6842  0.2508  6 W 2.63-2.83, 1 Al 2.82
W  0.4331  0.2417  0.5000  5 Al 2.55-2.84, 5 W 2.59-2.83
W  0.2417  0.4331  0.5000  5 Al 2.55-2.84, 5 W 2.59-2.83
W  0.7583  0.5669  0.5000  5 Al 2.55-2.84, 5 W 2.59-2.83
W  0.5669  0.7583  0.5000  5 Al 2.55-2.84, 5 W 2.59-2.83
W  0.6842  0.3158  0.7492  6 W 2.63-2.83, 1 Al 2.82
W  0.3158  0.6842  0.7492  6 W 2.63-2.83, 1 Al 2.82
W  0.1842  0.1842  0.7508  6 W 2.63-2.83, 1 Al 2.82
W  0.8158  0.8158  0.7508  6 W 2.63-2.83, 1 Al 2.82

Output
E above lowest polymorph ... 279 kJ/mol of formula units
Energy ... -8.489 eV/atom
Symmetry ... P4_2/mnm, No. 136



# 6
Al3W: optimized geometry, PBE-GGA.

abc: 4.9483 4.9483 4.9483
angles: 134.38 134.38 66.50
Last column: nearest neighbours and their distance in Å.
Fractional positions:
Al  0.5000  0.5000  0.0000  4 W 2.71, 8 Al 2.82
Al  0.7500  0.2500  0.5000  8 Al 2.71-2.82, 4 W 2.82
Al  0.2500  0.7500  0.5000  8 Al 2.71-2.82, 4 W 2.82
W  0.0000  0.0000  0.0000  12 Al 2.71-2.82

Output
Energy ... -6.158 eV/atom
Symmetry ... I4/mmm, No. 139



# 7
Al11W4: optimized geometry, PBE-GGA.

abc: 9.3540 9.3540 5.3348
angles: 90.00 90.00 90.00
Last column: nearest neighbours and their distance in Å.
Fractional positions:
Al  0.0000  0.0000  0.0000  4 Al 2.57, 4 W 2.75
Al  0.7332  0.0663  0.0000  6 Al 2.57-2.82, 4 W 2.75-2.79
Al  0.4597  0.1377  0.0000  6 Al 2.54-2.82
Al  0.9337  0.2668  0.0000  6 Al 2.57-2.82, 4 W 2.75-2.79
Al  0.4032  0.4032  0.0000  3 Al 2.54-2.56
Al  0.1377  0.4597  0.0000  6 Al 2.54-2.82
Al  0.8623  0.5403  0.0000  6 Al 2.54-2.82
Al  0.5968  0.5968  0.0000  3 Al 2.54-2.56
Al  0.0663  0.7332  0.0000  6 Al 2.57-2.82, 4 W 2.75-2.79
Al  0.5403  0.8623  0.0000  6 Al 2.54-2.82
Al  0.2668  0.9337  0.0000  6 Al 2.57-2.82, 4 W 2.75-2.79
Al  0.6377  0.0403  0.5000  6 Al 2.54-2.82
Al  0.9032  0.0968  0.5000  3 Al 2.54-2.56
Al  0.4337  0.2332  0.5000  6 Al 2.57-2.82, 4 W 2.75-2.80
Al  0.9597  0.3623  0.5000  6 Al 2.54-2.82
Al  0.2332  0.4337  0.5000  6 Al 2.57-2.82, 4 W 2.75-2.80
Al  0.5000  0.5000  0.5000  4 Al 2.57, 4 W 2.75
Al  0.7668  0.5663  0.5000  6 Al 2.57-2.82, 4 W 2.75-2.79
Al  0.0403  0.6377  0.5000  6 Al 2.54-2.82
Al  0.5663  0.7668  0.5000  6 Al 2.57-2.82, 4 W 2.75-2.79
Al  0.0968  0.9032  0.5000  3 Al 2.54-2.56
Al  0.3623  0.9597  0.5000  6 Al 2.54-2.82
W  0.6815  0.3185  0.2484  2 W 2.65-2.68, 7 Al 2.75-2.96
W  0.3185  0.6815  0.2484  2 W 2.65-2.68, 7 Al 2.75-2.96
W  0.1815  0.1815  0.2516  2 W 2.65-2.68, 7 Al 2.75-2.96
W  0.8185  0.8185  0.2516  2 W 2.65-2.68, 7 Al 2.75-2.96
W  0.1815  0.1815  0.7484  2 W 2.65-2.68, 7 Al 2.75-2.96
W  0.8185  0.8185  0.7484  2 W 2.65-2.68, 7 Al 2.75-2.96
W  0.6815  0.3185  0.7516  2 W 2.65-2.68, 7 Al 2.75-2.96
W  0.3185  0.6815  0.7516  2 W 2.65-2.68, 7 Al 2.75-2.96

Output
E above lowest polymorph ... 0 kJ/mol of formula units
Energy ... -6.214 eV/atom
Symmetry ... P4_2/mnm, No. 136



# 8
AlW5: optimized geometry, PBE-GGA.

abc: 5.2378 5.2378 17.1786
angles: 90.00 90.00 120.00
Last column: nearest neighbours and their distance in Å.
Fractional positions:
Al  0.0000  0.0000  0.0938  15 W 3.06-3.20, 1 Al 3.22
Al  0.0000  0.0000  0.4062  15 W 3.06-3.20, 1 Al 3.22
Al  0.0000  0.0000  0.5938  15 W 3.06-3.20, 1 Al 3.22
Al  0.0000  0.0000  0.9062  15 W 3.06-3.20, 1 Al 3.22
W  0.5000  0.0000  0.0000  6 W 2.62-2.65
W  0.0000  0.5000  0.0000  6 W 2.62-2.65
W  0.5000  0.5000  0.0000  6 W 2.62-2.65
W  0.3333  0.6667  0.1267  6 W 2.63-2.65
W  0.6667  0.3333  0.1548  13 W 3.06-3.27, 3 Al 3.20
W  0.1621  0.3243  0.2500  6 W 2.55-2.69
W  0.1621  0.8379  0.2500  6 W 2.55-2.69
W  0.6757  0.8379  0.2500  6 W 2.55-2.69
W  0.6667  0.3333  0.3452  13 W 3.06-3.27, 3 Al 3.20
W  0.3333  0.6667  0.3733  6 W 2.63-2.65
W  0.5000  0.0000  0.5000  6 W 2.62-2.65
W  0.0000  0.5000  0.5000  6 W 2.62-2.65
W  0.5000  0.5000  0.5000  6 W 2.62-2.65
W  0.6667  0.3333  0.6267  6 W 2.63-2.65
W  0.3333  0.6667  0.6548  13 W 3.06-3.27, 3 Al 3.20
W  0.3243  0.1621  0.7500  6 W 2.55-2.69
W  0.8379  0.1621  0.7500  6 W 2.55-2.69
W  0.8379  0.6757  0.7500  6 W 2.55-2.69
W  0.3333  0.6667  0.8452  13 W 3.06-3.27, 3 Al 3.20
W  0.6667  0.3333  0.8733  6 W 2.63-2.65

Output
E above lowest polymorph ... 81 kJ/mol of formula units
Energy ... -11.032 eV/atom
Symmetry ... P6_3/mmc, No. 194